Material: CdPd2Au3
Method: DFT, GGA-PBE
State: relaxed

CIF file:
```
data_CdPd2Au3
_symmetry_space_group_name_H-M 'C 1 2/c 1'
_symmetry_Int_Tables_number 15
_cell_length_a 5.7853
_cell_length_b 8.2870
_cell_length_c 9.1259
_cell_angle_alpha 90.00
_cell_angle_beta 107.71
_cell_angle_gamma 90.00
loop_
_symmetry_equiv_pos_as_xyz
'x,y,z'
'-x,-y,-z'
'-x,y,-z+1/2'
'x,-y,z+1/2'
'x+1/2,y+1/2,z'
'-x+1/2,-y+1/2,-z'
'-x+1/2,y+1/2,-z+1/2'
'x+1/2,-y+1/2,z+1/2'
loop_
_atom_site_label
_atom_site_type_symbol
_atom_site_fract_x
_atom_site_fract_y
_atom_site_fract_z
Cd1 Cd 0.0000 0.1249 0.2500
Pd1 Pd 0.1679 0.1251 0.5858
Au1 Au 0.0000 0.3752 0.7500
Au2 Au 0.1654 0.3750 0.0804
```

Values from the calculation:
**D(E_F)**: 7.43 states/eV/cell
**E_form**: -0.189 eV per atom
**E_tot**: -3.71 eV/atom
**Magnetization**: 0.00 Bohr magnetons per cell
**Distance to the lowest polymorph of the same formula**: 0 meV/atom